Entry 1:
Below is a relaxed structure of Tm4Hg3Pd, with properties calculated at the PBE-GGA level.

Summary:
Energy of formation = -591 meV per atom
ρ = 12.1 g/cm³
Symmetry = No. 123
Total energy = -28.72 eV/cell

Cell: 3.6050 3.6050 14.6043 Å, 90.00 90.00 90.00°
Atoms (fractional coordinates):
Tm 0.0000 0.0000 0.1124
Tm 0.0000 0.0000 0.3710
Tm 0.0000 0.0000 0.6290
Tm 0.0000 0.0000 0.8876
Hg 0.5000 0.5000 0.2451
Hg 0.5000 0.5000 0.5000
Hg 0.5000 0.5000 0.7549
Pd 0.5000 0.5000 0.0000


Entry 2:
Below is a relaxed structure of KTlAgPt2, with properties calculated at the PBE-GGA level.

Summary:
Energy of formation = 1537 meV per atom
ρ = 8.0 g/cm³
Symmetry = No. 123
Total energy = -10.71 eV/cell

Cell: 5.2162 5.2162 5.6420 Å, 90.00 90.00 90.00°
Atoms (fractional coordinates):
K 0.0000 0.0000 0.0000
Tl 0.0000 0.0000 0.5000
Ag 0.5000 0.5000 0.5000
Pt 0.0000 0.5000 0.0000
Pt 0.5000 0.0000 0.0000